Record 1
Material: LaSmHoN3
Method: DFT, GGA-PBE
State: relaxed

M_tot: 0.0 μB per formula unit
calculated total energy: -7.9238 eV per atom

Cell lengths 6.1513, 3.5951, 9.2303 Å; angles 90.00, 101.82, 90.00 degrees
Closest atoms and distances in Å follow each position.
Positions (direct):
La: 0.1492 0.2500 0.1969  7 N 2.57-2.84
La: 0.8508 0.7500 0.8031  7 N 2.57-2.84
Sm: 0.2701 0.7500 0.5456  6 N 2.42-2.70
Sm: 0.7299 0.2500 0.4544  6 N 2.42-2.70
Ho: 0.3560 0.2500 0.8605  5 N 2.27-2.50
Ho: 0.6440 0.7500 0.1395  5 N 2.27-2.50
N: 0.0403 0.2500 0.6738  1 Ho 2.32, 1 Sm 2.48, 2 La 2.57
N: 0.2597 0.7500 0.9847  3 Ho 2.27-2.50
N: 0.4679 0.7500 0.3443  1 Ho 2.36, 3 Sm 2.42-2.49
N: 0.5321 0.2500 0.6557  1 Ho 2.36, 3 Sm 2.42-2.49
N: 0.7403 0.2500 0.0153  3 Ho 2.27-2.50
N: 0.9597 0.7500 0.3262  1 Ho 2.32, 1 Sm 2.48, 2 La 2.57

---

Record 2
Material: La3Ho2TaN6
Method: DFT, GGA-PBE
State: relaxed

M_tot: 0.0 μB per formula unit
calculated total energy: -8.5816 eV per atom

Cell lengths 6.0098, 6.0098, 6.1801 Å; angles 99.30, 99.30, 119.95 degrees
Closest atoms and distances in Å follow each position.
Positions (direct):
La: 0.0000 0.0000 0.0000  6 N 2.56-2.73
La: 0.3328 0.6672 0.0000  6 N 2.54-2.75
La: 0.6672 0.3328 0.0000  6 N 2.54-2.75
Ho: 0.1668 0.8332 0.5000  6 N 2.43-2.45
Ho: 0.8332 0.1668 0.5000  6 N 2.43-2.45
Ta: 0.5000 0.5000 0.5000  6 N 2.21-2.23
N: 0.1248 0.4294 0.2888  1 Ta 2.21, 2 Ho 2.43
N: 0.2664 0.2664 0.7171  1 Ta 2.23, 2 Ho 2.45
N: 0.4294 0.1248 0.2888  1 Ta 2.21, 2 Ho 2.43
N: 0.5706 0.8752 0.7112  1 Ta 2.21, 2 Ho 2.43
N: 0.7336 0.7336 0.2829  1 Ta 2.23, 2 Ho 2.45
N: 0.8752 0.5706 0.7112  1 Ta 2.21, 2 Ho 2.43

---

Record 3
Material: LaHoTaN3
Method: DFT, GGA-PBE
State: relaxed

M_tot: 0.0 μB per formula unit
calculated total energy: -8.8472 eV per atom

Cell lengths 7.5222, 3.4741, 8.0628 Å; angles 90.00, 93.45, 90.00 degrees
Closest atoms and distances in Å follow each position.
Positions (direct):
La: 0.1622 0.2500 0.1693  3 N 2.49-2.75
La: 0.8378 0.7500 0.8307  3 N 2.49-2.75
Ho: 0.3866 0.7500 0.8511  3 N 2.20-2.41
Ho: 0.6134 0.2500 0.1489  3 N 2.20-2.41
Ta: 0.1236 0.2500 0.5810  4 N 1.99-2.18
Ta: 0.8764 0.7500 0.4190  4 N 1.99-2.18
N: 0.1509 0.2500 0.8274  1 Ta 1.99
N: 0.1653 0.7500 0.4547  3 Ta 2.05-2.18
N: 0.3911 0.7500 0.1241  3 Ho 2.20-2.41
N: 0.6089 0.2500 0.8759  3 Ho 2.20-2.41
N: 0.8347 0.2500 0.5453  3 Ta 2.05-2.18
N: 0.8491 0.7500 0.1726  1 Ta 1.99

---

Record 4
Material: LaHo2TaN4
Method: DFT, GGA-PBE
State: relaxed

M_tot: 0.0 μB per formula unit
calculated total energy: -8.7442 eV per atom

Cell lengths 6.2810, 6.2810, 12.1053 Å; angles 90.00, 90.00, 148.32 degrees
Closest atoms and distances in Å follow each position.
Positions (direct):
La: 0.0927 0.9073 0.7500  2 N 2.58
La: 0.9073 0.0927 0.2500  2 N 2.58
Ho: 0.3712 0.6288 0.5349  5 N 2.30-2.55
Ho: 0.3712 0.6288 0.9651  5 N 2.30-2.55
Ho: 0.6288 0.3712 0.0349  5 N 2.30-2.55
Ho: 0.6288 0.3712 0.4651  5 N 2.30-2.55
Ta: 0.1672 0.8328 0.2500  4 N 1.94-2.10
Ta: 0.8328 0.1672 0.7500  4 N 1.94-2.10
N: 0.0000 0.0000 0.0000  4 Ho 2.35
N: 0.0000 0.0000 0.5000  4 Ho 2.35
N: 0.2599 0.7401 0.1188  1 Ta 1.94
N: 0.2599 0.7401 0.3812  1 Ta 1.94
N: 0.4330 0.5670 0.7500  2 Ta 2.10
N: 0.5670 0.4330 0.2500  2 Ta 2.10
N: 0.7401 0.2599 0.6188  1 Ta 1.94
N: 0.7401 0.2599 0.8812  1 Ta 1.94

---

Record 5
Material: LaHo2TcN4
Method: DFT, GGA-PBE
State: relaxed

M_tot: 0.0 μB per formula unit
calculated total energy: -8.3455 eV per atom

Cell lengths 6.1318, 6.1318, 11.6145 Å; angles 90.00, 90.00, 147.01 degrees
Closest atoms and distances in Å follow each position.
Positions (direct):
La: 0.1172 0.8828 0.7500  6 N 2.67-2.77
La: 0.8828 0.1172 0.2500  6 N 2.67-2.77
Ho: 0.3687 0.6313 0.5401  6 N 2.28-2.56
Ho: 0.3687 0.6313 0.9599  6 N 2.28-2.56
Ho: 0.6313 0.3687 0.0401  6 N 2.28-2.56
Ho: 0.6313 0.3687 0.4599  6 N 2.28-2.56
Tc: 0.1458 0.8542 0.2500  4 N 1.98-2.00
Tc: 0.8542 0.1458 0.7500  4 N 1.98-2.00
N: 0.0000 0.0000 0.0000  4 Ho 2.37
N: 0.0000 0.0000 0.5000  4 Ho 2.37
N: 0.2627 0.7373 0.1246  1 Tc 2.00
N: 0.2627 0.7373 0.3754  1 Tc 2.00
N: 0.4342 0.5658 0.7500  2 Tc 1.98
N: 0.5658 0.4342 0.2500  2 Tc 1.98
N: 0.7373 0.2627 0.6246  1 Tc 2.00
N: 0.7373 0.2627 0.8754  1 Tc 2.00

---

Record 6
Material: La2HoTe2N2
Method: DFT, GGA-PBE
State: relaxed

M_tot: 0.0 μB per formula unit
calculated total energy: -6.6776 eV per atom

Cell lengths 8.8983, 8.8983, 8.8983 Å; angles 150.96, 150.96, 41.54 degrees
Closest atoms and distances in Å follow each position.
Positions (direct):
La: 0.1032 0.1032 0.0000  4 N 2.82
La: 0.8968 0.8968 0.0000  4 N 2.82
Ho: 0.5000 0.5000 0.0000  4 N 2.23
Te: 0.3158 0.3158 0.0000  1 Ho 3.07, 4 La 3.43
Te: 0.6842 0.6842 0.0000  1 Ho 3.07, 4 La 3.43
N: 0.0000 0.5000 0.5000  2 Ho 2.23
N: 0.5000 0.0000 0.5000  2 Ho 2.23

---

Formation energy without anion corrections values (in kJ per mole of atoms) by entry order: -134.2 -138.6 -108.5 -129.2 -108.7 -129.2.